1.
# DyTa2O6

Crystalline DyTa2O6 at its relaxed geometry (GGA-PBE, the Open Quantum Materials Database).

Values from the calculation:
For the uncorrected energy, the calculation gives -9.38 eV/atom.

Structure (CIF):
```
data_DyTa2O6
_chemical_formula_sum 'Dy1 Ta2 O6'
_space_group_name_H-M_alt 'P 4/m m m'
_space_group_IT_number 123
_space_group_name_Hall '-P 4 2'
_cell_length_a 3.921
_cell_length_b 3.921
_cell_length_c 7.884
_cell_angle_alpha 90.00
_cell_angle_beta 90.00
_cell_angle_gamma 90.00
loop_
_atom_site_label
_atom_site_fract_x
_atom_site_fract_y
_atom_site_fract_z
Dy1 0.000 0.000 0.000
Ta1 0.500 0.500 0.257
O1 0.000 0.500 0.211
O2 0.500 0.500 0.000
O3 0.500 0.500 0.500
```

***

2.
# Dy2Ta2O5

Crystalline Dy2Ta2O5 at its relaxed geometry (GGA-PBE, the Open Quantum Materials Database).

Values from the calculation:
For the uncorrected energy, the calculation gives -8.65 eV/atom.

Structure (CIF):
```
data_Dy2Ta2O5
_chemical_formula_sum 'Dy2 Ta2 O5'
_space_group_name_H-M_alt 'P 4/m m m'
_space_group_IT_number 123
_space_group_name_Hall '-P 4 2'
_cell_length_a 3.466
_cell_length_b 3.466
_cell_length_c 9.934
_cell_angle_alpha 90.00
_cell_angle_beta 90.00
_cell_angle_gamma 90.00
loop_
_atom_site_label
_atom_site_fract_x
_atom_site_fract_y
_atom_site_fract_z
Dy1 0.000 0.000 0.234
Ta1 0.500 0.500 0.000
Ta2 0.500 0.500 0.500
O1 0.000 0.000 0.000
O2 0.000 0.500 0.379
```

***

3.
# DyTa7O19

Crystalline DyTa7O19 at its relaxed geometry (GGA-PBE, the Open Quantum Materials Database).

Values from the calculation:
For the uncorrected energy, the calculation gives -9.66 eV/atom.

Structure (CIF):
```
data_DyTa7O19
_chemical_formula_sum 'Dy2 Ta14 O38'
_space_group_name_H-M_alt 'P -6 c 2'
_space_group_IT_number 188
_space_group_name_Hall 'P -6c 2'
_cell_length_a 6.2088
_cell_length_b 6.2088
_cell_length_c 19.8674
_cell_angle_alpha 90.00
_cell_angle_beta 90.00
_cell_angle_gamma 120.00
loop_
_atom_site_label
_atom_site_fract_x
_atom_site_fract_y
_atom_site_fract_z
Dy1 0.0000 0.0000 0.0000
Ta1 0.0275 0.3324 0.1553
Ta2 0.3333 0.6667 0.0000
O1 0.0000 0.0000 0.1284
O2 0.0442 0.2846 0.2500
O3 0.0907 0.3773 0.0551
O4 0.3333 0.6667 0.1673
O5 0.4189 0.0853 0.6533
```

***

4.
# Dy2Ta2O5

Crystalline Dy2Ta2O5 at its relaxed geometry (GGA-PBE, the Open Quantum Materials Database).

Values from the calculation:
For the uncorrected energy, the calculation gives -8.80 eV/atom.

Structure (CIF):
```
data_Dy2Ta2O5
_chemical_formula_sum 'Dy2 Ta2 O5'
_space_group_name_H-M_alt 'P 4/m m m'
_space_group_IT_number 123
_space_group_name_Hall '-P 4 2'
_cell_length_a 3.997
_cell_length_b 3.997
_cell_length_c 7.097
_cell_angle_alpha 90.00
_cell_angle_beta 90.00
_cell_angle_gamma 90.00
loop_
_atom_site_label
_atom_site_fract_x
_atom_site_fract_y
_atom_site_fract_z
Dy1 0.000 0.000 0.000
Dy2 0.000 0.000 0.500
Ta1 0.500 0.500 0.196
O1 0.000 0.500 0.253
O2 0.500 0.500 0.500
```

***

5.
# Dy2TmTaO6

Crystalline Dy2TmTaO6 at its relaxed geometry (GGA-PBE, the Open Quantum Materials Database).

Values from the calculation:
For the uncorrected energy, the calculation gives -8.51 eV/atom.

Structure (CIF):
```
data_Dy2TmTaO6
_chemical_formula_sum 'Dy2 Tm1 Ta1 O6'
_space_group_name_H-M_alt 'P -1'
_space_group_IT_number 2
_cell_length_a 5.179
_cell_length_b 5.188
_cell_length_c 5.745
_cell_angle_alpha 107.68
_cell_angle_beta 105.01
_cell_angle_gamma 100.36
loop_
_space_group_symop_operation_xyz
'x,y,z'
'-x,-y,-z'
loop_
_atom_site_label
_atom_site_fract_x
_atom_site_fract_y
_atom_site_fract_z
Dy1 0.245 0.243 0.471
Tm1 0.000 0.500 0.000
Ta1 0.500 0.000 0.000
O1 0.181 0.654 0.733
O2 0.251 0.232 0.076
O3 0.401 0.845 0.256
```

***

6.
# Dy5Tc2O12

Crystalline Dy5Tc2O12 at its relaxed geometry (GGA-PBE, the Open Quantum Materials Database).

Values from the calculation:
For the uncorrected energy, the calculation gives -8.33 eV/atom.

Structure (CIF):
```
data_Dy5Tc2O12
_chemical_formula_sum 'Dy10 Tc4 O24'
_space_group_name_H-M_alt 'C 1 2/m 1'
_space_group_IT_number 12
_cell_length_a 12.353
_cell_length_b 5.619
_cell_length_c 7.480
_cell_angle_alpha 90.00
_cell_angle_beta 107.92
_cell_angle_gamma 90.00
loop_
_space_group_symop_operation_xyz
'x,y,z'
'-x,-y,-z'
'-x,y,-z'
'x,-y,z'
'x+1/2,y+1/2,z'
'-x+1/2,-y+1/2,-z'
'-x+1/2,y+1/2,-z'
'x+1/2,-y+1/2,z'
loop_
_atom_site_label
_atom_site_fract_x
_atom_site_fract_y
_atom_site_fract_z
Dy1 0.000 0.000 0.000
Dy2 0.184 0.500 0.325
Dy3 0.195 0.500 0.858
Tc1 0.000 0.214 0.500
O1 0.001 0.000 0.294
O2 0.002 0.500 0.679
O3 0.154 0.252 0.074
O4 0.165 0.251 0.584
```

***

What did the first record say?
# DyTa2O6

Crystalline DyTa2O6 at its relaxed geometry (GGA-PBE, the Open Quantum Materials Database).

Values from the calculation:
For the uncorrected energy, the calculation gives -9.38 eV/atom.

Structure (CIF):
```
data_DyTa2O6
_chemical_formula_sum 'Dy1 Ta2 O6'
_space_group_name_H-M_alt 'P 4/m m m'
_space_group_IT_number 123
_space_group_name_Hall '-P 4 2'
_cell_length_a 3.921
_cell_length_b 3.921
_cell_length_c 7.884
_cell_angle_alpha 90.00
_cell_angle_beta 90.00
_cell_angle_gamma 90.00
loop_
_atom_site_label
_atom_site_fract_x
_atom_site_fract_y
_atom_site_fract_z
Dy1 0.000 0.000 0.000
Ta1 0.500 0.500 0.257
O1 0.000 0.500 0.211
O2 0.500 0.500 0.000
O3 0.500 0.500 0.500
```

***

Among the records above, which one has the highest uncorrected energy?
Dy5Tc2O12

***

Look up the uncorrected energy of the third one.
-9.66 eV/atom